one:
DFT (GGA-PBE) results for crystalline BeNb2Si at its relaxed geometry.

M_tot in μB/f.u.: 0.000
Volume in Å³/atom: 15.51
Crystal system: tetragonal

```
data_BeNb2Si
_chemical_formula_sum 'Be2 Nb4 Si2'
_cell_length_a 5.493
_cell_length_b 5.493
_cell_length_c 5.493
_cell_angle_alpha 104.32
_cell_angle_beta 104.32
_cell_angle_gamma 120.34
_space_group_name_H-M_alt 'P 1'
_space_group_IT_number 1
loop_
_space_group_symop_operation_xyz
'x,y,z'
loop_
_atom_site_label
_atom_site_type_symbol
_atom_site_fract_x
_atom_site_fract_y
_atom_site_fract_z
_atom_site_occupancy
Be1 Be 0.000 0.000 0.000 1
Be2 Be 0.750 0.250 0.500 1
Nb1 Nb 0.118 0.625 0.993 1
Nb2 Nb 0.375 0.368 0.493 1
Nb3 Nb 0.632 0.125 0.007 1
Nb4 Nb 0.875 0.882 0.507 1
Si1 Si 0.250 0.750 0.500 1
Si2 Si 0.500 0.500 0.000 1
```


two:
DFT (GGA-PBE) results for crystalline BeNb2Si at its relaxed geometry.

M_tot in μB/f.u.: 0.000
Volume in Å³/atom: 14.68
Crystal system: cubic

```
data_BeNb2Si
_chemical_formula_sum 'Be1 Nb2 Si1'
_cell_length_a 4.363
_cell_length_b 4.363
_cell_length_c 4.363
_cell_angle_alpha 60.00
_cell_angle_beta 60.00
_cell_angle_gamma 60.00
_space_group_name_H-M_alt 'P 1'
_space_group_IT_number 1
loop_
_space_group_symop_operation_xyz
'x,y,z'
loop_
_atom_site_label
_atom_site_type_symbol
_atom_site_fract_x
_atom_site_fract_y
_atom_site_fract_z
_atom_site_occupancy
Be1 Be 0.000 0.000 0.000 1
Nb1 Nb 0.250 0.250 0.250 1
Nb2 Nb 0.750 0.750 0.750 1
Si1 Si 0.500 0.500 0.500 1
```


three:
DFT (GGA-PBE) results for crystalline BeNb2Si at its relaxed geometry.

M_tot in μB/f.u.: 0.000
Volume in Å³/atom: 15.52
Crystal system: trigonal

```
data_BeNb2Si
_chemical_formula_sum 'Be1 Nb2 Si1'
_cell_length_a 6.072
_cell_length_b 6.072
_cell_length_c 6.072
_cell_angle_alpha 33.91
_cell_angle_beta 33.91
_cell_angle_gamma 33.91
_space_group_name_H-M_alt 'P 1'
_space_group_IT_number 1
loop_
_space_group_symop_operation_xyz
'x,y,z'
loop_
_atom_site_label
_atom_site_type_symbol
_atom_site_fract_x
_atom_site_fract_y
_atom_site_fract_z
_atom_site_occupancy
Be1 Be 0.000 0.000 0.000 1
Nb1 Nb 0.254 0.254 0.254 1
Nb2 Nb 0.746 0.746 0.746 1
Si1 Si 0.500 0.500 0.500 1
```


Most favorable first, least favorable last: three, two, one


one:
DFT (GGA-PBE) results for crystalline Be3NbSi at its relaxed geometry.

M_tot in μB/f.u.: 0.000
Volume in Å³/atom: 17.30
Crystal system: cubic

```
data_Be3NbSi
_chemical_formula_sum 'Be3 Nb1 Si1'
_cell_length_a 4.423
_cell_length_b 4.423
_cell_length_c 4.423
_cell_angle_alpha 90.00
_cell_angle_beta 90.00
_cell_angle_gamma 90.00
_space_group_name_H-M_alt 'P 1'
_space_group_IT_number 1
loop_
_space_group_symop_operation_xyz
'x,y,z'
loop_
_atom_site_label
_atom_site_type_symbol
_atom_site_fract_x
_atom_site_fract_y
_atom_site_fract_z
_atom_site_occupancy
Be1 Be 0.000 0.000 0.500 1
Be2 Be 0.000 0.500 0.000 1
Be3 Be 0.500 0.000 0.000 1
Nb1 Nb 0.000 0.000 0.000 1
Si1 Si 0.500 0.500 0.500 1
```


two:
DFT (GGA-PBE) results for crystalline Be3NbSi at its relaxed geometry.

M_tot in μB/f.u.: 0.000
Volume in Å³/atom: 13.15
Crystal system: cubic

```
data_Be3NbSi
_chemical_formula_sum 'Be3 Nb1 Si1'
_cell_length_a 4.036
_cell_length_b 4.036
_cell_length_c 4.036
_cell_angle_alpha 90.00
_cell_angle_beta 90.00
_cell_angle_gamma 90.00
_space_group_name_H-M_alt 'P 1'
_space_group_IT_number 1
loop_
_space_group_symop_operation_xyz
'x,y,z'
loop_
_atom_site_label
_atom_site_type_symbol
_atom_site_fract_x
_atom_site_fract_y
_atom_site_fract_z
_atom_site_occupancy
Be1 Be 0.000 0.000 0.500 1
Be2 Be 0.000 0.500 0.000 1
Be3 Be 0.500 0.000 0.000 1
Nb1 Nb 0.500 0.500 0.500 1
Si1 Si 0.000 0.000 0.000 1
```


Most favorable first, least favorable last: two, one


one:
DFT (GGA-PBE) results for crystalline Sr3BeNb at its relaxed geometry.

M_tot in μB/f.u.: 4.087
Volume in Å³/atom: 39.51
Crystal system: cubic

```
data_Sr3BeNb
_chemical_formula_sum 'Sr3 Be1 Nb1'
_cell_length_a 5.824
_cell_length_b 5.824
_cell_length_c 5.824
_cell_angle_alpha 90.00
_cell_angle_beta 90.00
_cell_angle_gamma 90.00
_space_group_name_H-M_alt 'P 1'
_space_group_IT_number 1
loop_
_space_group_symop_operation_xyz
'x,y,z'
loop_
_atom_site_label
_atom_site_type_symbol
_atom_site_fract_x
_atom_site_fract_y
_atom_site_fract_z
_atom_site_occupancy
Sr1 Sr 0.000 0.000 0.500 1
Sr2 Sr 0.000 0.500 0.000 1
Sr3 Sr 0.500 0.000 0.000 1
Be1 Be 0.000 0.000 0.000 1
Nb1 Nb 0.500 0.500 0.500 1
```


two:
DFT (GGA-PBE) results for crystalline Sr3BeNb at its relaxed geometry.

M_tot in μB/f.u.: 0.000
Volume in Å³/atom: 39.89
Crystal system: cubic

```
data_Sr3BeNb
_chemical_formula_sum 'Sr3 Be1 Nb1'
_cell_length_a 5.842
_cell_length_b 5.842
_cell_length_c 5.842
_cell_angle_alpha 90.00
_cell_angle_beta 90.00
_cell_angle_gamma 90.00
_space_group_name_H-M_alt 'P 1'
_space_group_IT_number 1
loop_
_space_group_symop_operation_xyz
'x,y,z'
loop_
_atom_site_label
_atom_site_type_symbol
_atom_site_fract_x
_atom_site_fract_y
_atom_site_fract_z
_atom_site_occupancy
Sr1 Sr 0.000 0.000 0.500 1
Sr2 Sr 0.000 0.500 0.000 1
Sr3 Sr 0.500 0.000 0.000 1
Be1 Be 0.500 0.500 0.500 1
Nb1 Nb 0.000 0.000 0.000 1
```


Most favorable first, least favorable last: one, two


one:
DFT (GGA-PBE) results for crystalline TaBeNb at its relaxed geometry.

M_tot in μB/f.u.: 0.000
Volume in Å³/atom: 15.47
Crystal system: triclinic

```
data_TaBeNb
_chemical_formula_sum 'Ta4 Be4 Nb4'
_cell_length_a 5.086
_cell_length_b 6.172
_cell_length_c 6.486
_cell_angle_alpha 89.35
_cell_angle_beta 89.93
_cell_angle_gamma 65.79
_space_group_name_H-M_alt 'P 1'
_space_group_IT_number 1
loop_
_space_group_symop_operation_xyz
'x,y,z'
loop_
_atom_site_label
_atom_site_type_symbol
_atom_site_fract_x
_atom_site_fract_y
_atom_site_fract_z
_atom_site_occupancy
Ta1 Ta 0.000 0.000 0.000 1
Ta2 Ta 0.026 0.491 0.123 1
Ta3 Ta 0.535 0.478 0.824 1
Ta4 Ta 0.625 0.293 0.325 1
Be1 Be 0.220 0.115 0.297 1
Be2 Be 0.434 0.670 0.154 1
Be3 Be 0.735 0.097 0.662 1
Be4 Be 0.922 0.687 0.789 1
Nb1 Nb 0.120 0.305 0.630 1
Nb2 Nb 0.154 0.780 0.484 1
Nb3 Nb 0.501 0.003 0.965 1
Nb4 Nb 0.654 0.787 0.452 1
```


two:
DFT (GGA-PBE) results for crystalline TaBeNb at its relaxed geometry.

M_tot in μB/f.u.: 0.000
Volume in Å³/atom: 15.32
Crystal system: tetragonal

```
data_TaBeNb
_chemical_formula_sum 'Ta1 Be1 Nb1'
_cell_length_a 4.789
_cell_length_b 4.789
_cell_length_c 4.789
_cell_angle_alpha 139.46
_cell_angle_beta 139.46
_cell_angle_gamma 58.67
_space_group_name_H-M_alt 'P 1'
_space_group_IT_number 1
loop_
_space_group_symop_operation_xyz
'x,y,z'
loop_
_atom_site_label
_atom_site_type_symbol
_atom_site_fract_x
_atom_site_fract_y
_atom_site_fract_z
_atom_site_occupancy
Ta1 Ta 0.000 0.000 0.000 1
Be1 Be 0.656 0.656 0.000 1
Nb1 Nb 0.313 0.313 0.000 1
```


three:
DFT (GGA-PBE) results for crystalline TaBeNb at its relaxed geometry.

M_tot in μB/f.u.: 0.000
Volume in Å³/atom: 14.98
Crystal system: orthorhombic

```
data_TaBeNb
_chemical_formula_sum 'Ta2 Be2 Nb2'
_cell_length_a 6.060
_cell_length_b 4.942
_cell_length_c 4.927
_cell_angle_alpha 75.76
_cell_angle_beta 52.24
_cell_angle_gamma 52.00
_space_group_name_H-M_alt 'P 1'
_space_group_IT_number 1
loop_
_space_group_symop_operation_xyz
'x,y,z'
loop_
_atom_site_label
_atom_site_type_symbol
_atom_site_fract_x
_atom_site_fract_y
_atom_site_fract_z
_atom_site_occupancy
Ta1 Ta 0.161 0.161 0.839 1
Ta2 Ta 0.839 0.839 0.161 1
Be1 Be 0.250 0.250 0.250 1
Be2 Be 0.750 0.750 0.750 1
Nb1 Nb 0.341 0.659 0.341 1
Nb2 Nb 0.659 0.341 0.659 1
```


Most favorable first, least favorable last: three, two, one